A plane-wave DFT calculation with PBE was carried out for a geometry-optimized FePbBr2 structure.

The calculation puts the formation energy from raw total energies at 0.4 eV/f.u. The value obtained for the energy relative to the lowest polymorph listed for this composition is 287.7 meV/atom. The value obtained for the raw total energy is -3.7726 eV/atom. The volume comes out at 31.67 Å³ per atom.

The structure belongs to space group I-42d (No. 122); the cell edges are 7.023, 7.023 and 10.273 Å and the angles 90.00°, 90.00° and 90.00°. The distinct sites, in fractional coordinates, are Fe at (0.000, 0.000, 0.000), Pb at (0.000, 0.000, 0.500) and Br at (0.158, 0.250, 0.125).

***

A plane-wave DFT calculation with PBE was carried out for a geometry-optimized NaLa2Cu structure.

The value obtained for the energy relative to the lowest polymorph listed for this composition is 172.4 meV/atom. The value obtained for the raw total energy is -3.6224 eV/atom. For the formation enthalpy at 0 K, the calculation gives 0.1951 eV/atom. The volume comes out at 28.45 Å³ per atom.

The structure belongs to space group Fm-3m (No. 225); the cell edges are 7.693, 7.693 and 7.693 Å and the angles 90.00°, 90.00° and 90.00°. The distinct sites, in fractional coordinates, are Na at (0.000, 0.000, 0.000), La at (0.250, 0.250, 0.250) and Cu at (0.000, 0.000, 0.500).

***

Which value of energy relative to the lowest polymorph listed for this composition does entry 1 give? 287.7 meV/atom

***

Among the records above, which one has the highest raw total energy? NaLa2Cu

***

Which of these has the highest energy relative to the lowest polymorph listed for this composition? FePbBr2

***

Look up the raw total energy of the second one. -3.6224 eV/atom